Here is a relaxed AcWO5 crystal from the Alexandria database. Energies are from PBE with a Hubbard U.

Calculated values
Its total magnetization is 2.05 μB/cell. The space-group type is No. 15. For the offset from the most stable computed form, the calculation gives 0.000 eV/atom.

a b c (Å): 5.889 5.889 7.917
angles (deg): 109.13 109.13 71.89
Sites, in units of the cell vectors:
Ac: 0.049 0.951 0.750
Ac: 0.951 0.049 0.250
W: 0.500 0.500 0.000
W: 0.500 0.500 0.500
O: 0.217 0.770 0.032
O: 0.230 0.783 0.468
O: 0.272 0.292 0.392
O: 0.292 0.272 0.892
O: 0.443 0.557 0.750
O: 0.557 0.443 0.250
O: 0.708 0.728 0.108
O: 0.728 0.708 0.608
O: 0.770 0.217 0.532
O: 0.783 0.230 0.968